Zr3Hg: optimized geometry, PBE-GGA.

space group = P2_1/m (11)
total moment = 0.00 μB/atom

Cell and atoms, written as POSCAR:
```
Zr3Hg
1.0
6.127 0.000 0.000
0.000 5.167 0.000
-2.494 0.000 5.609
Zr Hg
6 2
Cartesian
-0.292 1.292 2.184 Zr
-1.236 1.292 4.925 Zr
0.679 3.875 3.680 Zr
2.954 1.292 1.929 Zr
4.869 3.875 0.684 Zr
3.925 3.875 3.425 Zr
1.731 3.875 0.868 Hg
1.902 1.292 4.741 Hg
```


Zr2Hg: optimized geometry, PBE-GGA.

space group = P-62m (189)
total moment = 0.02 μB/atom

Cell and atoms, written as POSCAR:
```
Zr2Hg
1.0
5.422 0.000 0.000
-2.711 4.696 0.000
0.000 0.000 5.198
Zr Hg
4 2
Cartesian
0.000 0.000 0.000 Zr
-0.953 1.650 2.599 Zr
1.905 0.000 2.599 Zr
1.759 3.046 2.599 Zr
0.000 3.131 0.000 Hg
2.711 1.565 0.000 Hg
```


no.,energy of formation (kJ/mol of formula units)
1,-27
2,5